First-principles (PBE-GGA) data for crystalline LiCdSe2Br at its relaxed geometry, as listed in the Alexandria database.

Unit cell a=4.467 b=4.467 c=6.233 alpha=90.00 beta=90.00 gamma=90.00
Atoms (fractional coordinates):
1 Cd 0.500 0.500 0.500
2 Se 0.500 0.000 0.000
3 Se 0.000 0.500 0.000
4 Li 0.000 0.000 0.000
5 Br 0.000 0.000 0.500

Calculated values
volume: 24.872 Å³/atom
formation energy without anion corrections: -0.042 eV/atom

=====

First-principles (PBE-GGA) data for crystalline LiPuSc2 at its relaxed geometry, as listed in the Alexandria database.

Unit cell a=3.137 b=3.137 c=11.479 alpha=82.15 beta=82.15 gamma=60.00
Each line ends with the local moment (μB).
Atoms (fractional coordinates):
1 Sc 0.910 0.910 0.271  0.19
2 Sc 0.090 0.090 0.729  0.19
3 Pu 0.000 0.000 0.000  -5.46
4 Li 0.500 0.500 0.500  0.01

Calculated values
volume: 24.156 Å³/atom
E_form: 0.3472 eV/atom

=====

VASP energy values, unit eV/atom, following the record order: -2.34, -6.88.
D(E_F) values, unit states/eV/atom, following the record order: 0.473, 2.834.